(1)
First-principles (PBE-GGA) data for crystalline Hf2NbSn at its relaxed geometry, as listed in Alexandria via LeMat-Bulk.

Calculated values
VASP energy (eV per cell): -35.040
SG: P4/mmm (123)
Energy relative to the elements (kJ/mol of atoms): -25.6

a b c (Å): 3.6091 3.6091 6.4196
angles (deg): 90.00 90.00 90.00
Positions (direct):
Hf 0.0000 0.0000 0.2380
Hf 0.0000 0.0000 0.7620
Nb 0.5000 0.5000 0.0000
Sn 0.5000 0.5000 0.5000

***

(2)
First-principles (PBE-GGA) data for crystalline HfNb3Sn2 at its relaxed geometry, as listed in Alexandria via LeMat-Bulk.

Calculated values
VASP energy (eV per cell): -191.767
SG: Pnma (62)
Energy relative to the elements (kJ/mol of atoms): 3.6

a b c (Å): 9.5132 2.9893 17.0934
angles (deg): 90.00 90.00 90.00
Positions (direct):
Hf 0.1987 0.2500 0.1572
Hf 0.3013 0.7500 0.6572
Hf 0.6987 0.2500 0.3428
Hf 0.8013 0.7500 0.8428
Nb 0.0149 0.7500 0.5835
Nb 0.0251 0.2500 0.9183
Nb 0.2290 0.2500 0.3308
Nb 0.2710 0.7500 0.8308
Nb 0.4749 0.7500 0.4183
Nb 0.4851 0.2500 0.0835
Nb 0.5149 0.7500 0.9165
Nb 0.5251 0.2500 0.5817
Nb 0.7290 0.2500 0.1692
Nb 0.7710 0.7500 0.6692
Nb 0.9749 0.7500 0.0817
Nb 0.9851 0.2500 0.4165
Sn 0.0323 0.2500 0.7403
Sn 0.2463 0.2500 0.5022
Sn 0.2537 0.7500 0.0022
Sn 0.4677 0.7500 0.2403
Sn 0.5323 0.2500 0.7597
Sn 0.7463 0.2500 0.9978
Sn 0.7537 0.7500 0.4978
Sn 0.9677 0.7500 0.2597

***

(3)
First-principles (PBE-GGA) data for crystalline Hf4NbSn2 at its relaxed geometry, as listed in Alexandria via LeMat-Bulk.

Calculated values
VASP energy (eV per cell): -53.472
SG: I4/mmm (139)
Energy relative to the elements (kJ/mol of atoms): 60.9

a b c (Å): 8.3923 8.3923 8.3923
angles (deg): 146.14 146.14 48.64
Positions (direct):
Hf 0.0000 0.5000 0.5000
Hf 0.1766 0.1766 0.0000
Hf 0.5000 0.0000 0.5000
Hf 0.8234 0.8234 0.0000
Nb 0.0000 0.0000 0.0000
Sn 0.3641 0.3641 0.0000
Sn 0.6359 0.6359 0.0000

***

(4)
First-principles (PBE-GGA) data for crystalline HfNbSn at its relaxed geometry, as listed in Alexandria via LeMat-Bulk.

Calculated values
VASP energy (eV per cell): -48.635
SG: P-1 (2)
Energy relative to the elements (kJ/mol of atoms): -9.4

a b c (Å): 3.1045 6.0366 7.1579
angles (deg): 74.19 85.71 78.08
Positions (direct):
Hf 0.1616 0.1757 0.3405
Hf 0.8384 0.8243 0.6595
Nb 0.3862 0.3310 0.6619
Nb 0.6138 0.6690 0.3381
Sn 0.0000 0.0000 0.0000
Sn 0.5000 0.5000 0.0000

***

Question: VASP energy of number 1 (Hf2NbSn)?
Answer: -35.040 eV per cell